## Mg4Pd2Au3 (PBE)

Data for a relaxed structure of Mg4Pd2Au3.

```
data_Mg4Pd2Au3
_cell_length_a 4.153
_cell_length_b 4.820
_cell_length_c 8.704
_cell_angle_alpha 100.48
_cell_angle_beta 90.14
_cell_angle_gamma 115.47
_space_group_name_H-M_alt 'P -1'
_space_group_IT_number 2
loop_
_space_group_symop_operation_xyz
'x,y,z'
'-x,-y,-z'
loop_
_atom_site_label
_atom_site_fract_x
_atom_site_fract_y
_atom_site_fract_z
Mg1 0.018 0.035 0.332
Mg2 0.336 0.673 0.110
Pd1 0.326 0.653 0.786
Au1 0.000 0.000 0.000
Au2 0.337 0.675 0.432
```

## Mg2Pd3Au2 (PBE)

Data for a relaxed structure of Mg2Pd3Au2.

```
data_Mg2Pd3Au2
_cell_length_a 4.5102
_cell_length_b 4.5102
_cell_length_c 20.1008
_cell_angle_alpha 90.00
_cell_angle_beta 90.00
_cell_angle_gamma 120.00
_space_group_name_H-M_alt 'R -3 m'
_space_group_IT_number 166
_space_group_name_Hall '-R 3 2"'
loop_
_atom_site_label
_atom_site_fract_x
_atom_site_fract_y
_atom_site_fract_z
Mg1 0.0000 0.0000 0.0874
Pd1 0.0000 0.0000 0.2229
Pd2 0.0000 0.0000 0.5000
Au1 0.0000 0.0000 0.3639
```

What are the calculated formation energy values for these records? In order: -0.607 -0.481 eV/atom.